## ThAl2Ni (PBE)

Data for a geometry-optimized ThAl2Ni structure.

a = 15.450 Å, b = 6.947 Å, c = 5.686 Å
α = 90.00°, β = 90.00°, γ = 90.00°
Fractional positions:
1 Th 0.104 0.250 0.206
2 Th 0.138 0.750 0.022
3 Th 0.362 0.250 0.522
4 Th 0.396 0.750 0.706
5 Th 0.604 0.250 0.294
6 Th 0.638 0.750 0.478
7 Th 0.862 0.250 0.978
8 Th 0.896 0.750 0.794
9 Al 0.044 0.059 0.702
10 Al 0.044 0.441 0.702
11 Al 0.212 0.556 0.513
12 Al 0.212 0.944 0.513
13 Al 0.288 0.056 0.013
14 Al 0.288 0.444 0.013
15 Al 0.456 0.559 0.202
16 Al 0.456 0.941 0.202
17 Al 0.544 0.059 0.798
18 Al 0.544 0.441 0.798
19 Al 0.712 0.556 0.987
20 Al 0.712 0.944 0.987
21 Al 0.788 0.056 0.487
22 Al 0.788 0.444 0.487
23 Al 0.956 0.559 0.298
24 Al 0.956 0.941 0.298
25 Ni 0.072 0.750 0.503
26 Ni 0.182 0.250 0.734
27 Ni 0.318 0.750 0.234
28 Ni 0.428 0.250 0.003
29 Ni 0.572 0.750 0.997
30 Ni 0.682 0.250 0.766
31 Ni 0.818 0.750 0.266
32 Ni 0.928 0.250 0.497

Results
Its formation energy is -0.522 eV per atom. The value obtained for the density of states at the Fermi level is 2.227 states/eV/f.u. For the calculated volume, the calculation gives 19.07 Å³ per atom. The space group is Pnma.